1.
## Ba3Pd5I12 (PBE)

Data for crystalline Ba3Pd5I12 at its relaxed geometry.

Cell: 15.7481 15.7481 15.7481 Å, 109.47 109.47 109.47°
Closest atoms and distances in Å follow each position.
Atoms (fractional coordinates):
Ba 0.7500 0.3750 0.1250  8 I 3.54-3.70
Ba 0.8750 0.7500 0.1250  8 I 3.54-3.70
Ba 0.3750 0.7500 0.6250  8 I 3.54-3.70
Ba 0.2500 0.1250 0.3750  8 I 3.54-3.70
Ba 0.8750 0.1250 0.2500  8 I 3.54-3.70
Ba 0.3750 0.6250 0.2500  8 I 3.54-3.70
Ba 0.6250 0.3750 0.7500  8 I 3.54-3.70
Ba 0.1250 0.8750 0.7500  8 I 3.54-3.70
Ba 0.7500 0.8750 0.6250  8 I 3.54-3.70
Ba 0.6250 0.2500 0.3750  8 I 3.54-3.70
Ba 0.1250 0.2500 0.8750  8 I 3.54-3.70
Ba 0.2500 0.6250 0.8750  8 I 3.54-3.70
Pd 0.1250 0.3750 0.2500  4 I 2.72
Pd 0.0000 0.5000 0.0000  6 I 2.84
Pd 0.0000 0.0000 0.0000  6 I 2.84
Pd 0.3750 0.2500 0.1250  4 I 2.72
Pd 0.5000 0.0000 0.5000  6 I 2.84
Pd 0.5000 0.5000 0.0000  6 I 2.84
Pd 0.1250 0.7500 0.3750  4 I 2.72
Pd 0.7500 0.1250 0.8750  4 I 2.72
Pd 0.7500 0.6250 0.3750  4 I 2.72
Pd 0.3750 0.1250 0.7500  4 I 2.72
Pd 0.6250 0.8750 0.2500  4 I 2.72
Pd 0.5000 0.5000 0.5000  6 I 2.84
Pd 0.5000 0.0000 0.0000  6 I 2.84
Pd 0.0000 0.0000 0.5000  6 I 2.84
Pd 0.2500 0.3750 0.6250  4 I 2.72
Pd 0.2500 0.8750 0.1250  4 I 2.72
Pd 0.0000 0.5000 0.5000  6 I 2.84
Pd 0.8750 0.2500 0.6250  4 I 2.72
Pd 0.6250 0.7500 0.8750  4 I 2.72
Pd 0.8750 0.6250 0.7500  4 I 2.72
I 0.6948 0.1140 0.0187  2 Pd 2.72-2.84
I 0.3239 0.5187 0.4048  2 Pd 2.72-2.84
I 0.9813 0.3860 0.3052  2 Pd 2.72-2.84
I 0.5187 0.1948 0.1140  2 Pd 2.72-2.84
I 0.5809 0.6948 0.6761  2 Pd 2.72-2.84
I 0.9813 0.5952 0.1761  2 Pd 2.72-2.84
I 0.3239 0.8052 0.4191  2 Pd 2.72-2.84
I 0.0952 0.9191 0.1140  2 Pd 2.72-2.84
I 0.5952 0.9813 0.6761  2 Pd 2.72-2.84
I 0.6948 0.5809 0.1761  2 Pd 2.72-2.84
I 0.8052 0.4813 0.3860  2 Pd 2.72-2.84
I 0.8239 0.9048 0.0187  2 Pd 2.72-2.84
I 0.1140 0.6948 0.5187  2 Pd 2.72-2.84
I 0.3860 0.4048 0.0809  2 Pd 2.72-2.84
I 0.0809 0.9048 0.3860  2 Pd 2.72-2.84
I 0.4191 0.1140 0.5952  2 Pd 2.72-2.84
I 0.0809 0.1761 0.1948  2 Pd 2.72-2.84
I 0.4813 0.6761 0.0952  2 Pd 2.72-2.84
I 0.8239 0.9191 0.3052  2 Pd 2.72-2.84
I 0.1140 0.4191 0.0952  2 Pd 2.72-2.84
I 0.3860 0.9813 0.8052  2 Pd 2.72-2.84
I 0.5952 0.6140 0.4191  2 Pd 2.72-2.84
I 0.9048 0.8239 0.5187  2 Pd 2.72-2.84
I 0.8052 0.3239 0.9191  2 Pd 2.72-2.84
I 0.4048 0.3860 0.5809  2 Pd 2.72-2.84
I 0.0952 0.1761 0.4813  2 Pd 2.72-2.84
I 0.1948 0.6761 0.0809  2 Pd 2.72-2.84
I 0.1761 0.0809 0.6948  2 Pd 2.72-2.84
I 0.6140 0.0187 0.1948  2 Pd 2.72-2.84
I 0.8860 0.5809 0.9048  2 Pd 2.72-2.84
I 0.5187 0.3239 0.9048  2 Pd 2.72-2.84
I 0.5809 0.8860 0.4048  2 Pd 2.72-2.84
I 0.9191 0.8239 0.8052  2 Pd 2.72-2.84
I 0.9191 0.0952 0.6140  2 Pd 2.72-2.84
I 0.8860 0.3052 0.4813  2 Pd 2.72-2.84
I 0.1761 0.0952 0.9813  2 Pd 2.72-2.84
I 0.6140 0.5952 0.9191  2 Pd 2.72-2.84
I 0.4048 0.0187 0.3239  2 Pd 2.72-2.84
I 0.3052 0.4191 0.8239  2 Pd 2.72-2.84
I 0.1948 0.5187 0.6140  2 Pd 2.72-2.84
I 0.9048 0.0809 0.8860  2 Pd 2.72-2.84
I 0.6761 0.1948 0.5809  2 Pd 2.72-2.84
I 0.4813 0.8052 0.8860  2 Pd 2.72-2.84
I 0.0187 0.4048 0.8239  2 Pd 2.72-2.84
I 0.4191 0.3052 0.3239  2 Pd 2.72-2.84
I 0.0187 0.6140 0.6948  2 Pd 2.72-2.84
I 0.6761 0.4813 0.5952  2 Pd 2.72-2.84
I 0.3052 0.8860 0.9813  2 Pd 2.72-2.84

Values from the calculation:
**Electronic total energy**: -3.28 eV/atom
**Formation energy without anion corrections**: -0.77 eV/atom
**Calculated volume**: 37.6 Å³/atom



2.
## As2PtW (PBE)

Data for crystalline As2PtW at its relaxed geometry.

Cell: 4.7902 2.7599 5.1024 Å, 90.46 90.00 90.00°
Closest atoms and distances in Å follow each position.
Atoms (fractional coordinates):
As 0.0000 0.8710 0.0054  4 As 2.59-2.76, 2 W 2.75, 2 Pt 2.89
As 0.0000 0.6290 0.4946  4 As 2.59-2.76, 2 W 2.75, 2 Pt 2.89
W 0.5000 0.7500 0.7500  4 As 2.75, 2 W 2.76, 4 Pt 2.89-2.91
Pt 0.5000 0.2500 0.2500  2 Pt 2.76, 4 W 2.89-2.91, 4 As 2.89

Values from the calculation:
**Electronic total energy**: -6.67 eV/atom
**Offset from the most stable computed form**: 360.5 meV per atom
**Energy relative to the elements**: 1.61 eV per formula unit
**Calculated volume**: 16.9 Å³/atom



3.
## TlCdPbAu (PBE)

Data for crystalline TlCdPbAu at its relaxed geometry.

Cell: 4.7432 4.7432 6.3579 Å, 68.10 68.10 60.00°
Closest atoms and distances in Å follow each position.
Atoms (fractional coordinates):
Tl 0.8199 0.8199 0.5403  3 Cd 3.16, 1 Au 3.28, 3 Pb 3.45
Cd 0.2453 0.2453 0.2641  3 Au 2.87, 3 Tl 3.16
Pb 0.0315 0.0315 0.9055  3 Au 2.98
Au 0.6292 0.6292 0.1124  3 Cd 2.87, 3 Pb 2.98

Values from the calculation:
**Electronic total energy**: -2.59 eV/atom
**Offset from the most stable computed form**: 0.0 meV per atom
**Energy relative to the elements**: -0.08 eV per formula unit
**Calculated volume**: 27.9 Å³/atom



4.
## In2NiP (PBE)

Data for crystalline In2NiP at its relaxed geometry.

Cell: 6.6404 6.6404 6.6404 Å, 152.39 143.25 46.58°
Closest atoms and distances in Å follow each position.
Atoms (fractional coordinates):
In 0.9884 0.9884 0.0000  4 Ni 2.73
In 0.2868 0.7868 0.5000  4 P 2.96, 4 In 3.17-3.23
Ni 0.5493 0.5493 0.0000  2 P 2.21
P 0.6755 0.1755 0.5000  2 Ni 2.21

Values from the calculation:
**Electronic total energy**: -4.16 eV/atom
**Energy relative to the elements**: 0.03 eV per formula unit
**Calculated volume**: 20.2 Å³/atom



5.
## Ta2Ti2Fe (PBE)

Data for crystalline Ta2Ti2Fe at its relaxed geometry.

Cell: 5.0245 5.0245 8.0184 Å, 102.25 102.25 115.37°
Closest atoms and distances in Å follow each position.
Atoms (fractional coordinates):
Ta 0.7807 0.7807 0.5306  3 Ta 2.59-2.86, 4 Ti 2.73
Ta 0.1884 0.1884 0.8905  4 Fe 2.60-2.68, 1 Ta 2.85
Ta 0.8116 0.8116 0.1095  4 Fe 2.60-2.68, 1 Ta 2.85
Ta 0.2193 0.2193 0.4694  3 Ta 2.59-2.86, 4 Ti 2.73
Ti 0.2304 0.5927 0.2652  2 Fe 2.44, 1 Ta 2.73
Ti 0.7696 0.4073 0.7348  2 Fe 2.44, 1 Ta 2.73
Ti 0.5927 0.2304 0.2652  2 Fe 2.44, 1 Ta 2.73
Ti 0.4073 0.7696 0.7348  2 Fe 2.44, 1 Ta 2.73
Fe 0.2425 0.7575 0.0000  4 Ti 2.44, 4 Ta 2.60-2.68, 2 Fe 2.69
Fe 0.7575 0.2425 0.0000  4 Ti 2.44, 4 Ta 2.60-2.68, 2 Fe 2.69

Values from the calculation:
**Electronic total energy**: -9.51 eV/atom
**Offset from the most stable computed form**: 0.0 meV per atom
**Energy relative to the elements**: 0.42 eV per formula unit
**Calculated volume**: 16.8 Å³/atom



6.
## Bi3AuO (PBE)

Data for crystalline Bi3AuO at its relaxed geometry.

Cell: 4.9438 4.9438 4.9438 Å, 90.00 90.00 90.00°
Closest atoms and distances in Å follow each position.
Atoms (fractional coordinates):
Au 0.5000 0.5000 0.5000  12 Bi 3.50
Bi 0.0000 0.5000 0.0000  2 O 2.47
Bi 0.0000 0.0000 0.5000  2 O 2.47
Bi 0.5000 0.0000 0.0000  2 O 2.47
O 0.0000 0.0000 0.0000  6 Bi 2.47

Values from the calculation:
**Electronic total energy**: -3.99 eV/atom
**Offset from the most stable computed form**: 0.0 meV per atom
**Formation energy without anion corrections**: -0.02 eV/atom
**Calculated volume**: 24.2 Å³/atom